# 1
# CsMgH12Cl3O6, optimized geometry, DFT PBEsol
# - energy (eV/atom) = -4.741
data_CsMgH12Cl3O6
_cell_length_a 6.6884
_cell_length_b 6.6896
_cell_length_c 13.3607
_cell_angle_alpha 90.22
_cell_angle_beta 90.21
_cell_angle_gamma 91.44
_symmetry_space_group_name_H-M 'P 1'
_symmetry_Int_Tables_number 1
loop_
_symmetry_equiv_pos_as_xyz
'x,y,z'
loop_
_atom_site_label
_atom_site_type_symbol
_atom_site_fract_x
_atom_site_fract_y
_atom_site_fract_z
Cs1 Cs 0.0000 0.0000 0.0000
Cs2 Cs 0.0295 0.9675 0.4999
Mg1 Mg 0.5145 0.4836 0.2506
Mg2 Mg 0.5153 0.4835 0.7506
H1 H 0.1689 0.2707 0.2821
H2 H 0.1701 0.4271 0.3719
H3 H 0.1756 0.5480 0.8532
H4 H 0.1789 0.7219 0.7730
H5 H 0.2695 0.4251 0.5820
H6 H 0.2766 0.8203 0.2281
H7 H 0.3023 0.1385 0.7826
H8 H 0.3118 0.4240 0.0748
H9 H 0.4515 0.8239 0.1485
H10 H 0.4542 0.2794 0.5753
H11 H 0.4574 0.2390 0.0816
H12 H 0.4589 0.1393 0.8724
H13 H 0.5713 0.8274 0.6288
H14 H 0.5720 0.7279 0.4197
H15 H 0.5756 0.6874 0.9261
H16 H 0.5774 0.1434 0.3529
H17 H 0.7175 0.5429 0.4264
H18 H 0.7287 0.8282 0.7181
H19 H 0.7518 0.1465 0.2729
H20 H 0.7607 0.5420 0.9194
H21 H 0.8519 0.2453 0.7279
H22 H 0.8548 0.4197 0.6480
H23 H 0.8587 0.5401 0.1292
H24 H 0.8595 0.6971 0.2186
Cl1 Cl 0.0142 0.9839 0.2500
Cl2 Cl 0.0156 0.9835 0.7500
Cl3 Cl 0.0341 0.4967 0.9966
Cl4 Cl 0.5033 0.9649 0.0049
Cl5 Cl 0.5263 0.0020 0.4964
Cl6 Cl 0.9959 0.4708 0.5046
O1 O 0.2416 0.3890 0.3102
O2 O 0.2444 0.5964 0.7921
O3 O 0.3975 0.3902 0.6144
O4 O 0.4027 0.7552 0.2096
O5 O 0.4202 0.2113 0.8109
O6 O 0.4227 0.3673 0.1138
O7 O 0.6067 0.5998 0.3874
O8 O 0.6104 0.7554 0.6902
O9 O 0.6261 0.2120 0.2918
O10 O 0.6327 0.5768 0.8869
O11 O 0.7864 0.3711 0.7092
O12 O 0.7872 0.5783 0.1909

=====

# 2
# Cs5Te3H4NCl18, optimized geometry, DFT PBEsol
# - energy (eV/atom) = -3.502
data_Cs5Te3H4NCl18
_cell_length_a 7.3276
_cell_length_b 7.3276
_cell_length_c 17.9293
_cell_angle_alpha 90.00
_cell_angle_beta 90.00
_cell_angle_gamma 120.00
_symmetry_space_group_name_H-M 'P 1'
_symmetry_Int_Tables_number 1
loop_
_symmetry_equiv_pos_as_xyz
'x,y,z'
loop_
_atom_site_label
_atom_site_type_symbol
_atom_site_fract_x
_atom_site_fract_y
_atom_site_fract_z
Cs1 Cs 0.0000 0.0000 0.0000
Cs2 Cs 0.0000 0.0000 0.4963
Cs3 Cs 0.3333 0.6667 0.8329
Cs4 Cs 0.6667 0.3333 0.1659
Cs5 Cs 0.6667 0.3333 0.6634
Te1 Te 0.0000 0.0000 0.7483
Te2 Te 0.3333 0.6667 0.0856
Te3 Te 0.6667 0.3333 0.4119
H1 H 0.2564 0.5127 0.3099
H2 H 0.2564 0.7436 0.3099
H3 H 0.3333 0.6667 0.3873
H4 H 0.4873 0.7436 0.3099
N1 N 0.3333 0.6667 0.3295
Cl1 Cl 0.0067 0.5034 0.0031
Cl2 Cl 0.1635 0.3270 0.6663
Cl3 Cl 0.1635 0.8365 0.6663
Cl4 Cl 0.1703 0.3406 0.1679
Cl5 Cl 0.1703 0.8297 0.1679
Cl6 Cl 0.3271 0.1636 0.8304
Cl7 Cl 0.3384 0.1692 0.3307
Cl8 Cl 0.4966 0.5034 0.0031
Cl9 Cl 0.4966 0.9933 0.0031
Cl10 Cl 0.5021 0.0042 0.4933
Cl11 Cl 0.5021 0.4979 0.4933
Cl12 Cl 0.6594 0.8297 0.1679
Cl13 Cl 0.6730 0.8365 0.6663
Cl14 Cl 0.8308 0.1692 0.3307
Cl15 Cl 0.8308 0.6616 0.3307
Cl16 Cl 0.8364 0.1636 0.8304
Cl17 Cl 0.8364 0.6729 0.8304
Cl18 Cl 0.9958 0.4979 0.4933

=====

# 3
# CsNa2H4Cl3O2, optimized geometry, DFT PBEsol
# - energy (eV/atom) = -4.238
data_CsNa2H4Cl3O2
_cell_length_a 8.8613
_cell_length_b 8.8613
_cell_length_c 10.6688
_cell_angle_alpha 125.31
_cell_angle_beta 125.31
_cell_angle_gamma 38.03
_symmetry_space_group_name_H-M 'P 1'
_symmetry_Int_Tables_number 1
loop_
_symmetry_equiv_pos_as_xyz
'x,y,z'
loop_
_atom_site_label
_atom_site_type_symbol
_atom_site_fract_x
_atom_site_fract_y
_atom_site_fract_z
Cs1 Cs 0.0000 0.5000 0.0000
Cs2 Cs 0.5000 0.0000 0.5000
Na1 Na 0.0000 0.0000 0.0000
Na2 Na 0.0000 0.0000 0.5000
Na3 Na 0.3372 0.6628 0.7500
Na4 Na 0.6628 0.3372 0.2500
H1 H 0.0741 0.5652 0.7357
H2 H 0.3263 0.4422 0.8646
H3 H 0.4348 0.9259 0.7643
H4 H 0.4422 0.3263 0.3646
H5 H 0.5578 0.6737 0.6354
H6 H 0.5652 0.0741 0.2357
H7 H 0.6737 0.5578 0.1354
H8 H 0.9259 0.4348 0.2643
Cl1 Cl 0.1129 0.5669 0.4262
Cl2 Cl 0.1742 0.8258 0.2500
Cl3 Cl 0.4331 0.8871 0.0738
Cl4 Cl 0.5669 0.1129 0.9262
Cl5 Cl 0.8258 0.1742 0.7500
Cl6 Cl 0.8871 0.4331 0.5738
O1 O 0.1911 0.5913 0.8185
O2 O 0.4087 0.8089 0.6815
O3 O 0.5913 0.1911 0.3185
O4 O 0.8089 0.4087 0.1815

=====

# 4
# Cs3HfCl, optimized geometry, DFT PBEsol
# - formation energy (no corrections) (meV per atom) = 556
# - energy (eV/atom) = -2.512
data_Cs3HfCl
_cell_length_a 6.8404
_cell_length_b 6.8404
_cell_length_c 6.8404
_cell_angle_alpha 90.00
_cell_angle_beta 90.00
_cell_angle_gamma 90.00
_symmetry_space_group_name_H-M 'P 1'
_symmetry_Int_Tables_number 1
loop_
_symmetry_equiv_pos_as_xyz
'x,y,z'
loop_
_atom_site_label
_atom_site_type_symbol
_atom_site_fract_x
_atom_site_fract_y
_atom_site_fract_z
Cs1 Cs 0.0000 0.0000 0.5000
Cs2 Cs 0.0000 0.5000 0.0000
Cs3 Cs 0.5000 0.0000 0.0000
Hf1 Hf 0.0000 0.0000 0.0000
Cl1 Cl 0.5000 0.5000 0.5000

=====

# 5
# CsHfTl2Cl, optimized geometry, DFT PBEsol
# - formation energy (no corrections) (meV per atom) = -196
# - energy (eV/atom) = -3.938
data_CsHfTl2Cl
_cell_length_a 5.7088
_cell_length_b 5.7088
_cell_length_c 5.0341
_cell_angle_alpha 90.00
_cell_angle_beta 90.00
_cell_angle_gamma 90.00
_symmetry_space_group_name_H-M 'P 1'
_symmetry_Int_Tables_number 1
loop_
_symmetry_equiv_pos_as_xyz
'x,y,z'
loop_
_atom_site_label
_atom_site_type_symbol
_atom_site_fract_x
_atom_site_fract_y
_atom_site_fract_z
Cs1 Cs 0.0000 0.0000 0.0000
Hf1 Hf 0.5000 0.5000 0.5000
Tl1 Tl 0.0000 0.5000 0.5000
Tl2 Tl 0.5000 0.0000 0.5000
Cl1 Cl 0.5000 0.5000 0.0000

=====

# 6
# Cs2HgCl4, optimized geometry, DFT PBEsol
# - formation energy (no corrections) (meV per atom) = -1421
# - energy (eV/atom) = -2.919
data_Cs2HgCl4
_cell_length_a 7.4537
_cell_length_b 9.6789
_cell_length_c 13.8019
_cell_angle_alpha 90.00
_cell_angle_beta 90.00
_cell_angle_gamma 90.00
_symmetry_space_group_name_H-M 'P 1'
_symmetry_Int_Tables_number 1
loop_
_symmetry_equiv_pos_as_xyz
'x,y,z'
loop_
_atom_site_label
_atom_site_type_symbol
_atom_site_fract_x
_atom_site_fract_y
_atom_site_fract_z
Cs1 Cs 0.0078 0.1367 0.4334
Cs2 Cs 0.0139 0.7662 0.6829
Cs3 Cs 0.4861 0.2338 0.1829
Cs4 Cs 0.4922 0.8633 0.9334
Cs5 Cs 0.5078 0.3633 0.5666
Cs6 Cs 0.5139 0.7338 0.3171
Cs7 Cs 0.9861 0.2662 0.8171
Cs8 Cs 0.9922 0.6367 0.0666
Hg1 Hg 0.0037 0.0439 0.0718
Hg2 Hg 0.4963 0.9561 0.5718
Hg3 Hg 0.5037 0.4561 0.9282
Hg4 Hg 0.9963 0.5439 0.4282
Cl1 Cl 0.0118 0.9291 0.9059
Cl2 Cl 0.0673 0.2908 0.0684
Cl3 Cl 0.2359 0.5655 0.8547
Cl4 Cl 0.2415 0.0844 0.6538
Cl5 Cl 0.2585 0.9156 0.1538
Cl6 Cl 0.2641 0.4345 0.3547
Cl7 Cl 0.4327 0.7092 0.5684
Cl8 Cl 0.4882 0.0709 0.4059
Cl9 Cl 0.5118 0.5709 0.0941
Cl10 Cl 0.5673 0.2092 0.9316
Cl11 Cl 0.7359 0.9345 0.1453
Cl12 Cl 0.7415 0.4156 0.3462
Cl13 Cl 0.7585 0.5844 0.8462
Cl14 Cl 0.7641 0.0655 0.6453
Cl15 Cl 0.9327 0.7908 0.4316
Cl16 Cl 0.9882 0.4291 0.5941